Entry 1:
Material: FeCBr2
Method: DFT, PBE
State: optimized geometry

a = 5.544 Å, b = 5.544 Å, c = 10.526 Å
α = 90.00°, β = 90.00°, γ = 90.00°
Space group I-42d (No. 122)
Asymmetric unit:
Fe  0.000  0.000  0.000
C  0.000  0.000  0.500
Br  0.230  0.250  0.125

Formation energy (no corrections)   1741 meV/atom
D(E_F)   15.62 states/eV/cell
Uncorrected energy   -0.258 Ry/atom

***

Entry 2:
Material: FeC2Br
Method: DFT, PBE
State: optimized geometry

a = 5.140 Å, b = 5.140 Å, c = 8.979 Å
α = 90.00°, β = 90.00°, γ = 90.00°
Space group I-42d (No. 122)
Asymmetric unit:
Fe  0.000  0.000  0.000
C  0.099  0.250  0.125
Br  0.000  0.000  0.500

Formation energy (no corrections)   1466 meV/atom
D(E_F)   12.98 states/eV/cell
Uncorrected energy   -0.417 Ry/atom